Record 1
# RbAs2HSe GGA-PBE relaxed
data_RbAs2HSe
_chemical_formula_sum 'Rb1 As2 H1 Se1'
_space_group_name_H-M_alt 'P 1'
_space_group_IT_number 1
_cell_length_a 4.458
_cell_length_b 4.458
_cell_length_c 5.191
_cell_angle_alpha 90.00
_cell_angle_beta 90.00
_cell_angle_gamma 90.00
loop_
_space_group_symop_operation_xyz
'x,y,z'
loop_
_atom_site_label
_atom_site_type_symbol
_atom_site_fract_x
_atom_site_fract_y
_atom_site_fract_z
H1 H 0.000 0.000 0.000
As1 As 0.000 0.500 0.000
As2 As 0.500 0.000 0.000
Se1 Se 0.000 0.000 0.500
Rb1 Rb 0.500 0.500 0.500
# - Distance to the lowest polymorph of the same formula: 0 meV/atom
# - ρ: 5.1 g/cm3
# - Final energy: -15.2 eV per cell

***

Record 2
# RbAs2HSe GGA-PBE relaxed
data_RbAs2HSe
_chemical_formula_sum 'Rb1 As2 H1 Se1'
_space_group_name_H-M_alt 'P 1'
_space_group_IT_number 1
_cell_length_a 7.476
_cell_length_b 7.476
_cell_length_c 6.627
_cell_angle_alpha 90.00
_cell_angle_beta 90.00
_cell_angle_gamma 90.00
loop_
_space_group_symop_operation_xyz
'x,y,z'
loop_
_atom_site_label
_atom_site_type_symbol
_atom_site_fract_x
_atom_site_fract_y
_atom_site_fract_z
H1 H 0.500 0.500 0.500
As1 As 0.000 0.500 0.000
As2 As 0.500 0.000 0.000
Se1 Se 0.000 0.000 0.500
Rb1 Rb 0.000 0.000 0.000
# - Distance to the lowest polymorph of the same formula: 1207 meV/atom
# - ρ: 1.4 g/cm3
# - Final energy: -9.1 eV per cell

***

Record 3
# Rb2SiAs2H2 GGA-PBE relaxed
data_Rb2SiAs2H2
_chemical_formula_sum 'Rb2 Si1 As2 H2'
_space_group_name_H-M_alt 'P 1'
_space_group_IT_number 1
_cell_length_a 4.468
_cell_length_b 6.705
_cell_length_c 6.714
_cell_angle_alpha 57.60
_cell_angle_beta 70.56
_cell_angle_gamma 70.54
loop_
_space_group_symop_operation_xyz
'x,y,z'
loop_
_atom_site_label
_atom_site_type_symbol
_atom_site_fract_x
_atom_site_fract_y
_atom_site_fract_z
Rb1 Rb 0.193 0.307 0.307
Rb2 Rb 0.807 0.693 0.693
Si1 Si 0.000 0.000 0.000
As1 As 0.500 0.200 0.800
As2 As 0.500 0.800 0.200
H1 H 0.141 0.856 0.862
H2 H 0.859 0.144 0.138
# - ρ: 3.7 g/cm3
# - Final energy: -24.1 eV per cell

***

Record 4
# Rb2SrAsH GGA-PBE relaxed
data_Rb2SrAsH
_chemical_formula_sum 'Rb2 Sr1 As1 H1'
_space_group_name_H-M_alt 'P 1'
_space_group_IT_number 1
_cell_length_a 4.892
_cell_length_b 7.421
_cell_length_c 4.892
_cell_angle_alpha 90.00
_cell_angle_beta 90.00
_cell_angle_gamma 90.00
loop_
_space_group_symop_operation_xyz
'x,y,z'
loop_
_atom_site_label
_atom_site_type_symbol
_atom_site_fract_x
_atom_site_fract_y
_atom_site_fract_z
Sr1 Sr 0.500 0.500 0.500
As1 As 0.000 0.500 0.000
Rb1 Rb 0.000 0.000 0.500
Rb2 Rb 0.500 0.000 0.000
H1 H 0.000 0.000 0.000
# - ρ: 3.1 g/cm3
# - Final energy: -11.5 eV per cell

***

Record 5
# RbTcAsH2 GGA-PBE relaxed
data_RbTcAsH2
_chemical_formula_sum 'Rb1 Tc1 As1 H2'
_space_group_name_H-M_alt 'P 1'
_space_group_IT_number 1
_cell_length_a 4.228
_cell_length_b 6.788
_cell_length_c 4.228
_cell_angle_alpha 90.00
_cell_angle_beta 90.00
_cell_angle_gamma 90.00
loop_
_space_group_symop_operation_xyz
'x,y,z'
loop_
_atom_site_label
_atom_site_type_symbol
_atom_site_fract_x
_atom_site_fract_y
_atom_site_fract_z
H1 H 0.000 0.000 0.500
H2 H 0.500 0.000 0.000
As1 As 0.500 0.500 0.500
Tc1 Tc 0.000 0.000 0.000
Rb1 Rb 0.000 0.500 0.000
# - ρ: 3.6 g/cm3
# - Final energy: -16.0 eV per cell

***

Record 6
# RbTlAsH GGA-PBE relaxed
data_RbTlAsH
_chemical_formula_sum 'Rb1 Tl1 As1 H1'
_space_group_name_H-M_alt 'P 1'
_space_group_IT_number 1
_cell_length_a 4.243
_cell_length_b 4.540
_cell_length_c 7.242
_cell_angle_alpha 73.61
_cell_angle_beta 74.60
_cell_angle_gamma 65.39
loop_
_space_group_symop_operation_xyz
'x,y,z'
loop_
_atom_site_label
_atom_site_type_symbol
_atom_site_fract_x
_atom_site_fract_y
_atom_site_fract_z
Rb1 Rb 0.740 0.537 0.467
Tl1 Tl 0.965 0.785 0.883
As1 As 0.507 0.274 0.128
H1 H 0.232 0.128 0.128
# - Distance to the lowest polymorph of the same formula: 69 meV/atom
# - ρ: 5.1 g/cm3
# - Final energy: -11.8 eV per cell

***

Record 7
# RbTlAsH GGA-PBE relaxed
data_RbTlAsH
_chemical_formula_sum 'Rb2 Tl2 As2 H2'
_space_group_name_H-M_alt 'P 1'
_space_group_IT_number 1
_cell_length_a 6.964
_cell_length_b 5.053
_cell_length_c 7.609
_cell_angle_alpha 90.00
_cell_angle_beta 114.78
_cell_angle_gamma 90.00
loop_
_space_group_symop_operation_xyz
'x,y,z'
loop_
_atom_site_label
_atom_site_type_symbol
_atom_site_fract_x
_atom_site_fract_y
_atom_site_fract_z
H1 H 0.788 0.000 0.058
H2 H 0.788 0.500 0.558
Tl1 Tl 0.135 0.000 0.982
Tl2 Tl 0.135 0.500 0.482
As1 As 0.911 0.000 0.284
As2 As 0.911 0.500 0.784
Rb1 Rb 0.560 0.000 0.507
Rb2 Rb 0.560 0.500 0.007
# - Distance to the lowest polymorph of the same formula: 41 meV/atom
# - ρ: 5.0 g/cm3
# - Final energy: -23.9 eV per cell

***

Record 8
# RbTlAsH GGA-PBE relaxed
data_RbTlAsH
_chemical_formula_sum 'Rb3 Tl3 As3 H3'
_space_group_name_H-M_alt 'P 1'
_space_group_IT_number 1
_cell_length_a 4.463
_cell_length_b 4.463
_cell_length_c 19.664
_cell_angle_alpha 90.00
_cell_angle_beta 90.00
_cell_angle_gamma 120.00
loop_
_space_group_symop_operation_xyz
'x,y,z'
loop_
_atom_site_label
_atom_site_type_symbol
_atom_site_fract_x
_atom_site_fract_y
_atom_site_fract_z
Rb1 Rb 0.000 0.000 0.348
Rb2 Rb 0.333 0.667 0.015
Rb3 Rb 0.667 0.333 0.682
Tl1 Tl 0.000 0.000 0.839
Tl2 Tl 0.333 0.667 0.505
Tl3 Tl 0.667 0.333 0.172
As1 As 0.000 0.000 0.555
As2 As 0.333 0.667 0.222
As3 As 0.667 0.333 0.889
H1 H 0.000 0.000 0.742
H2 H 0.333 0.667 0.409
H3 H 0.667 0.333 0.075
# - Distance to the lowest polymorph of the same formula: 62 meV/atom
# - ρ: 5.4 g/cm3
# - Final energy: -35.5 eV per cell